(1)
Al2ZnNi2: relaxed, GGA-PBE.

Results
E_form = -0.72 eV per formula unit
uncorrected energy = -4.209 eV/atom

a = 3.651 Å, b = 3.651 Å, c = 6.037 Å
α = 72.40°, β = 72.40°, γ = 90.00°
Fractional coordinates of all 5 atoms:
Ni1 0.394 0.394 0.212
Zn1 0.000 0.000 0.000
Al1 0.750 0.250 0.500
Al2 0.250 0.750 0.500
Ni2 0.606 0.606 0.788

---

(2)
Ba3Hg3Pb: relaxed, GGA-PBE.

Results
E_form = -3.39 eV per formula unit
uncorrected energy = -1.967 eV/atom

a = 5.014 Å, b = 6.748 Å, c = 17.086 Å
α = 85.19°, β = 81.56°, γ = 68.19°
Fractional coordinates of all 14 atoms:
Pb1 0.759 0.095 0.387
Pb2 0.241 0.905 0.613
Ba1 0.749 0.737 0.765
Ba2 0.459 0.687 0.394
Ba3 0.251 0.263 0.235
Hg1 0.113 0.850 0.924
Hg2 0.130 0.278 0.461
Ba4 0.599 0.723 0.080
Hg3 0.887 0.150 0.076
Hg4 0.870 0.722 0.539
Ba5 0.541 0.313 0.606
Ba6 0.401 0.277 0.920
Hg5 0.029 0.171 0.771
Hg6 0.971 0.829 0.229

---

(3)
Sc2SnB2Ir5: relaxed, GGA-PBE.

Results
E_form = -7.38 eV per formula unit
uncorrected energy = -8.170 eV/atom

a = 3.221 Å, b = 9.451 Å, c = 9.451 Å
α = 90.00°, β = 90.00°, γ = 90.00°
Fractional coordinates of all 20 atoms:
Ir1 0.500 0.500 0.000
Sn1 0.000 0.000 0.000
B1 0.000 0.622 0.878
Ir2 0.500 0.928 0.223
Ir3 0.500 0.223 0.072
Sn2 0.000 0.500 0.500
Ir4 0.500 0.777 0.928
Ir5 0.500 0.072 0.777
Ir6 0.500 0.572 0.723
Sc1 0.000 0.324 0.824
B2 0.000 0.378 0.122
B3 0.000 0.122 0.622
Sc2 0.000 0.824 0.676
Ir7 0.500 0.428 0.277
Ir8 0.500 0.277 0.572
Ir9 0.500 0.000 0.500
Sc3 0.000 0.176 0.324
Ir10 0.500 0.723 0.428
B4 0.000 0.878 0.378
Sc4 0.000 0.676 0.176

---

(4)
Pr5Dy6Sc2: relaxed, GGA-PBE.

Results
E_form = 0.79 eV per formula unit
uncorrected energy = -4.876 eV/atom

a = 3.619 Å, b = 11.384 Å, c = 20.575 Å
α = 90.00°, β = 90.00°, γ = 90.00°
Fractional coordinates of all 26 atoms:
Sc1 0.000 0.111 0.786
Dy1 0.000 0.668 0.117
Pr1 0.500 0.562 0.577
Dy2 0.000 0.223 0.056
Dy3 0.500 0.079 0.655
Dy4 0.000 0.723 0.444
Dy5 0.000 0.832 0.617
Pr2 0.500 0.149 0.223
Pr3 0.500 0.351 0.723
Dy6 0.000 0.277 0.556
Pr4 0.500 0.000 0.500
Dy7 0.500 0.421 0.155
Pr5 0.500 0.500 0.000
Dy8 0.000 0.777 0.944
Sc2 0.000 0.611 0.714
Sc3 0.000 0.389 0.286
Pr6 0.500 0.938 0.077
Pr7 0.500 0.062 0.923
Sc4 0.000 0.889 0.214
Dy9 0.000 0.168 0.383
Pr8 0.500 0.438 0.423
Dy10 0.000 0.332 0.883
Dy11 0.500 0.921 0.345
Dy12 0.500 0.579 0.845
Pr9 0.500 0.851 0.777
Pr10 0.500 0.649 0.277

---

(5)
LiOs3F: relaxed, GGA-PBE.

Results
uncorrected formation energy = 2037 meV/atom
uncorrected energy = -5.458 eV/atom

a = 4.133 Å, b = 4.133 Å, c = 4.133 Å
α = 90.00°, β = 90.00°, γ = 90.00°
Fractional coordinates of all 5 atoms:
Os1 0.000 0.500 0.000
Os2 0.000 0.000 0.500
Li1 0.000 0.000 0.000
F1 0.500 0.500 0.500
Os3 0.500 0.000 0.000

---

(6)
Ga2HgAu: relaxed, GGA-PBE.

Results
E_form = 0.10 eV per formula unit
uncorrected energy = -2.384 eV/atom

a = 3.830 Å, b = 4.606 Å, c = 4.606 Å
α = 90.00°, β = 90.00°, γ = 90.00°
Fractional coordinates of all 4 atoms:
Ga1 0.000 0.500 0.000
Au1 0.500 0.000 0.000
Hg1 0.500 0.500 0.500
Ga2 0.000 0.000 0.500

---

(7)
LuHfHg: relaxed, GGA-PBE.

Results
E_form = -0.55 eV per formula unit
uncorrected energy = -5.109 eV/atom

a = 3.339 Å, b = 3.339 Å, c = 6.768 Å
α = 104.28°, β = 104.28°, γ = 90.00°
Fractional coordinates of all 3 atoms:
Hf1 0.328 0.328 0.657
Hg1 0.671 0.671 0.343
Lu1 0.000 0.000 0.000

---

(8)
LaZnBPb2: relaxed, GGA-PBE.

Results
E_form = 4.82 eV per formula unit
uncorrected energy = -3.095 eV/atom

a = 5.145 Å, b = 5.728 Å, c = 5.145 Å
α = 90.00°, β = 90.00°, γ = 90.00°
Fractional coordinates of all 5 atoms:
Pb1 0.500 0.000 0.000
La1 0.000 0.500 0.000
Pb2 0.000 0.000 0.500
B1 0.500 0.500 0.500
Zn1 0.000 0.000 0.000

---

(9)
Be3Mo: relaxed, GGA-PBE.

Results
E_form = 0.36 eV per formula unit
uncorrected energy = -5.412 eV/atom

a = 4.682 Å, b = 4.682 Å, c = 4.682 Å
α = 147.82°, β = 129.46°, γ = 61.19°
Fractional coordinates of all 4 atoms:
Mo1 0.250 0.750 0.500
Be1 0.750 0.250 0.500
Be2 0.976 0.976 0.000
Be3 0.524 0.524 0.000

---

(10)
PtRh2Pb6: relaxed, GGA-PBE.

Results
E_form = -0.45 eV per formula unit
uncorrected energy = -4.827 eV/atom

a = 6.960 Å, b = 7.098 Å, c = 9.061 Å
α = 90.00°, β = 80.32°, γ = 90.00°
Fractional coordinates of all 18 atoms:
Pb1 0.330 0.847 0.082
Pb2 0.670 0.153 0.918
Rh1 0.517 0.849 0.767
Rh2 0.017 0.651 0.267
Pb3 0.154 0.006 0.771
Pb4 0.370 0.829 0.434
Pb5 0.170 0.347 0.418
Pb6 0.654 0.494 0.271
Pb7 0.870 0.671 0.934
Pb8 0.130 0.329 0.066
Pb9 0.630 0.171 0.566
Pb10 0.846 0.994 0.229
Pb11 0.830 0.653 0.582
Pt1 0.000 0.000 0.500
Pb12 0.346 0.506 0.729
Pt2 0.500 0.500 0.000
Rh3 0.483 0.151 0.233
Rh4 0.983 0.349 0.733

---

(11)
SrMg10Hg2: relaxed, GGA-PBE.

Results
E_form = -1.44 eV per formula unit
uncorrected energy = -1.513 eV/atom

a = 6.090 Å, b = 7.830 Å, c = 7.853 Å
α = 81.32°, β = 67.18°, γ = 67.11°
Fractional coordinates of all 13 atoms:
Mg1 0.994 0.359 0.654
Mg2 0.006 0.641 0.346
Mg3 0.495 0.222 0.787
Mg4 0.352 0.641 0.654
Mg5 0.282 0.222 0.213
Mg6 0.500 0.000 0.500
Hg1 0.500 0.500 0.000
Mg7 0.000 0.000 0.500
Sr1 0.000 0.000 0.000
Mg8 0.505 0.778 0.213
Hg2 0.000 0.500 0.000
Mg9 0.648 0.359 0.346
Mg10 0.718 0.778 0.787

---

(12)
LiNbZn: relaxed, GGA-PBE.

Results
E_form = 0.08 eV per formula unit
uncorrected energy = -4.392 eV/atom

a = 7.027 Å, b = 5.178 Å, c = 2.851 Å
α = 74.36°, β = 88.29°, γ = 103.48°
Fractional coordinates of all 6 atoms:
Nb1 0.036 0.774 0.425
Zn1 0.314 0.554 0.979
Li1 0.382 0.139 0.699
Zn2 0.686 0.446 0.021
Li2 0.618 0.861 0.301
Nb2 0.964 0.226 0.575

---

(13)
Rb2Cd4Hg3Bi: relaxed, GGA-PBE.

Results
E_form = -1.53 eV per formula unit
uncorrected energy = -1.191 eV/atom

a = 5.347 Å, b = 5.347 Å, c = 11.402 Å
α = 90.00°, β = 90.00°, γ = 90.00°
Fractional coordinates of all 10 atoms:
Hg1 0.000 0.000 0.500
Hg2 0.000 0.500 0.114
Cd1 0.000 0.500 0.368
Rb1 0.500 0.000 0.248
Cd2 0.000 0.000 0.000
Bi1 0.500 0.500 0.500
Hg3 0.500 0.000 0.886
Cd3 0.500 0.000 0.632
Cd4 0.500 0.500 0.000
Rb2 0.000 0.500 0.752

---

(14)
YC8: relaxed, GGA-PBE.

Results
E_form = 17.75 eV per formula unit
uncorrected energy = -6.945 eV/atom

a = 4.871 Å, b = 4.871 Å, c = 4.871 Å
α = 108.24°, β = 108.24°, γ = 111.95°
Fractional coordinates of all 9 atoms:
C1 0.731 0.269 0.000
C2 0.731 0.731 0.461
C3 0.269 0.269 0.539
C4 0.000 0.622 0.622
C5 0.000 0.378 0.378
C6 0.622 0.000 0.622
C7 0.269 0.731 0.000
C8 0.378 0.000 0.378
Y1 0.000 0.000 0.000

---

(15)
SrHg3Pd: relaxed, GGA-PBE.

Results
E_form = -1.80 eV per formula unit
uncorrected energy = -1.916 eV/atom

a = 5.840 Å, b = 7.154 Å, c = 7.154 Å
α = 120.01°, β = 90.00°, γ = 90.00°
Fractional coordinates of all 10 atoms:
Hg1 0.250 0.809 0.191
Hg2 0.750 0.618 0.809
Pd1 0.000 0.000 0.000
Hg3 0.750 0.191 0.809
Hg4 0.750 0.191 0.382
Hg5 0.250 0.382 0.191
Sr1 0.750 0.667 0.333
Sr2 0.250 0.333 0.667
Hg6 0.250 0.809 0.618
Pd2 0.500 0.000 0.000